Entry 1:
{"formula": "Y2CrRh", "functional": "PBE-GGA", "state": "relaxed", "total_energy_ev_per_cell": -30.7, "e_above_lowest_polymorph_ev_per_fu": 0.07, "ef_mev_per_atom": -198, "rho_g_cm3": 6.41, "lattice_angstrom": [[-3.9777, -1.6308, -2.4679], [-3.6697, 3.1335, -1.1344], [-0.7264, 1.3652, -4.7097]], "species": ["Y", "Y", "Cr", "Rh"], "frac_coords": [[0.2500, 0.2500, 0.2500], [0.7500, 0.7500, 0.7500], [0.0000, 0.0000, 0.0000], [0.5000, 0.5000, 0.5000]]}

Entry 2:
{"formula": "Pr2TmZn2Pd5", "functional": "PBE-GGA", "state": "relaxed", "total_energy_ev_per_cell": -99.7, "ef_mev_per_atom": -732, "rho_g_cm3": 9.37, "lattice_angstrom": [[-1.8655, -3.3745, -0.5105], [7.0394, -2.8936, -6.5970], [5.3438, -4.0880, 7.4952]], "species": ["Pr", "Pr", "Pr", "Pr", "Tm", "Tm", "Zn", "Zn", "Zn", "Zn", "Pd", "Pd", "Pd", "Pd", "Pd", "Pd", "Pd", "Pd", "Pd", "Pd"], "frac_coords": [[0.0000, 0.6773, 0.1773], [0.0000, 0.3227, 0.8227], [0.0000, 0.1773, 0.3227], [0.0000, 0.8227, 0.6773], [0.0000, 0.0000, 0.0000], [0.0000, 0.5000, 0.5000], [0.0000, 0.1181, 0.6181], [0.0000, 0.8819, 0.3819], [0.0000, 0.6181, 0.8819], [0.0000, 0.3819, 0.1181], [0.5000, 0.2120, 0.0660], [0.5000, 0.7880, 0.9340], [0.5000, 0.0660, 0.7880], [0.5000, 0.7120, 0.4340], [0.5000, 0.9340, 0.2120], [0.5000, 0.2880, 0.5660], [0.5000, 0.5660, 0.7120], [0.5000, 0.4340, 0.2880], [0.5000, 0.5000, 0.0000], [0.5000, 0.0000, 0.5000]]}

Entry 3:
{"formula": "Pm3GaPb2", "functional": "PBE-GGA", "state": "relaxed", "total_energy_ev_per_cell": -54.9, "e_above_lowest_polymorph_ev_per_fu": 0.40, "ef_mev_per_atom": -461, "rho_g_cm3": 8.85, "lattice_angstrom": [[-0.5099, -5.3890, 3.5178], [5.7963, -1.8967, -2.0654], [2.2830, 7.0508, 5.2086]], "species": ["Pm", "Pm", "Pm", "Pm", "Pm", "Pm", "Ga", "Ga", "Pb", "Pb", "Pb", "Pb"], "frac_coords": [[0.6392, 0.2500, 0.0000], [0.3608, 0.7500, 0.0000], [0.2774, 0.0984, 0.3271], [0.9504, 0.4016, 0.6729], [0.0496, 0.5984, 0.3271], [0.7226, 0.9016, 0.6729], [0.8733, 0.7500, 0.0000], [0.1267, 0.2500, 0.0000], [0.5525, 0.5654, 0.3267], [0.7742, 0.0654, 0.3267], [0.2258, 0.9346, 0.6733], [0.4475, 0.4346, 0.6733]]}

Entry 4:
{"formula": "Zr4Os3", "functional": "PBE-GGA", "state": "relaxed", "total_energy_ev_per_cell": -68.5, "e_above_lowest_polymorph_ev_per_fu": 2.21, "ef_mev_per_atom": -94, "rho_g_cm3": 11.98, "lattice_angstrom": [[-1.7173, 8.8290, 8.0327], [-4.9226, 9.9102, 4.7938], [1.7442, -10.6929, -5.2956]], "species": ["Zr", "Zr", "Zr", "Zr", "Os", "Os", "Os"], "frac_coords": [[0.8474, 0.8474, 0.0000], [0.5683, 0.5683, 0.0000], [0.4317, 0.4317, 0.0000], [0.1526, 0.1526, 0.0000], [0.0000, 0.0000, 0.0000], [0.7136, 0.7136, 0.0000], [0.2864, 0.2864, 0.0000]]}